Density functional theory data (PBE) for a geometry-optimized Sc2AlNiH structure.

a b c (Å): 4.574 4.574 3.473
angles (deg): 90.00 90.00 90.00
Element x y z (fractional)
Ni1 0.000 0.000 0.500
Sc1 0.000 0.500 0.000
H1 0.000 0.000 0.000
Sc2 0.500 0.000 0.000
Al1 0.500 0.500 0.500

Calculated values
Symmetry   P4/mmm (123)


Density functional theory data (PBE) for a geometry-optimized LiMn3Os structure.

a b c (Å): 3.848 3.848 3.848
angles (deg): 90.00 90.00 90.00
Element x y z (fractional)
Mn1 0.000 0.500 0.000
Mn2 0.500 0.000 0.000
Os1 0.500 0.500 0.500
Li1 0.000 0.000 0.000
Mn3 0.000 0.000 0.500

Calculated values
Symmetry   Pm-3m (221)
DFT formation energy   1152.8 meV per atom


Density functional theory data (PBE) for a geometry-optimized KCrSe2 structure.

a b c (Å): 3.823 7.475 10.050
angles (deg): 57.00 79.03 75.18
Element x y z (fractional)
Se1 0.226 0.946 0.239
Cr1 0.641 0.184 0.170
Se2 0.496 0.311 0.333
Se3 0.364 0.109 0.799
K1 0.809 0.490 0.528
Cr2 0.220 0.225 0.969
K2 0.938 0.710 0.049
Se4 0.636 0.463 0.901

Calculated values
Symmetry   Cm (8)
Formation energy (no corrections)   -613.1 meV per atom


Density functional theory data (PBE) for a geometry-optimized NaCdGa2Pt structure.

a b c (Å): 4.814 4.814 5.568
angles (deg): 90.00 90.00 90.00
Element x y z (fractional)
Ga1 0.000 0.500 0.000
Cd1 0.500 0.500 0.500
Pt1 0.000 0.000 0.000
Ga2 0.500 0.000 0.000
Na1 0.000 0.000 0.500

Calculated values
Symmetry   P4/mmm (123)
DFT formation energy   -198.4 meV per atom


Density functional theory data (PBE) for a geometry-optimized TbSmTm2As4 structure.

a b c (Å): 4.123 7.134 7.137
angles (deg): 70.52 90.00 90.00
Element x y z (fractional)
As1 0.500 0.756 0.250
Tm1 0.000 0.000 0.000
As2 0.500 0.244 0.750
Sm1 0.500 0.500 0.000
As3 0.000 0.758 0.745
Tb1 0.000 0.500 0.500
As4 0.000 0.242 0.255
Tm2 0.500 0.000 0.500

Calculated values
Symmetry   P2/m (10)
DFT formation energy   -1516.0 meV per atom


Density functional theory data (PBE) for a geometry-optimized SrBeB2 structure.

a b c (Å): 4.124 4.124 7.313
angles (deg): 73.62 73.62 90.00
Element x y z (fractional)
Be1 0.250 0.750 0.500
Sr1 0.750 0.250 0.500
B1 0.875 0.625 0.750
B2 0.375 0.625 0.750
Be2 0.500 0.500 0.000
Sr2 0.000 0.000 0.000
B3 0.375 0.125 0.250
B4 0.375 0.625 0.250

Calculated values
Symmetry   I4_1/amd (141)
DFT formation energy   404.6 meV per atom


| no. | electronic total energy (eV/atom) | spin magnetization (μB/atom) |
| --- | --- | --- |
| 1 | -5.577 | 0.0000 |
| 2 | -6.978 | 0.4378 |
| 3 | -5.036 | 0.0550 |
| 4 | -3.064 | 0.0000 |
| 5 | -6.127 | 0.0000 |
| 6 | -4.286 | 0.0000 |